Entry 1:
Li2CaTiIn | PBE | optimized geometry

Values from the calculation:
DFT total energy: -12.8 eV/cell

Lattice parameters (Å, degrees): 5.031 5.031 5.840 90.00 90.00 90.00
Space group P4/mmm (No. 123)
Symmetry-distinct sites (fractional):
Li  0.000  0.500  0.000 [2 per cell]
Ca  0.000  0.000  0.500 [1 per cell]
Ti  0.500  0.500  0.500 [1 per cell]
In  0.000  0.000  0.000 [1 per cell]

***

Entry 2:
MgCdCl2 | PBE | optimized geometry

Values from the calculation:
Formation energy from raw total energies: -1266 meV/atom
DFT total energy: -33.8 eV/cell

Lattice parameters (Å, degrees): 3.6271 3.6271 32.6309 90.00 90.00 120.00
Space group R-3m (No. 166, hexagonal axes)
Symmetry-distinct sites (fractional):
Mg  0.0000  0.0000  0.0000 [3 per cell]
Cd  0.0000  0.0000  0.5000 [3 per cell]
Cl  0.0000  0.0000  0.2907 [6 per cell]

***

Entry 3:
Ti3TeOs | PBE | optimized geometry

Values from the calculation:
Formation energy from raw total energies: 210 meV/atom
DFT total energy: -37.0 eV/cell

Lattice parameters (Å, degrees): 4.783 4.783 4.783 90.00 90.00 90.00
Space group Pm-3m (No. 221)
Symmetry-distinct sites (fractional):
Ti  0.000  0.000  0.500 [3 per cell]
Te  0.500  0.500  0.500 [1 per cell]
Os  0.000  0.000  0.000 [1 per cell]